VASP calculation (GGA-PBE) on a relaxed PrInAsO crystal.

Properties
Its energy above the lowest structure with this stoichiometry is 0.00 eV/f.u. Its space group is P4/nmm.

Cell and atoms, written as extended XYZ:
```
8
Lattice="4.4303 0.0000 0.0000 0.0000 4.4303 0.0000 0.0000 0.0000 8.9478" Properties=species:S:1:pos:R:3 pbc="T T T"
In 1.1076 3.3227 4.4739
In 3.3227 1.1076 4.4739
O 1.1076 3.3227 0.0000
O 3.3227 1.1076 0.0000
Pr 3.3227 3.3227 7.9665
Pr 1.1076 1.1076 0.9813
As 3.3227 3.3227 2.7514
As 1.1076 1.1076 6.1963
```